No. 1
# GGA-PBEsol NaBiCSO7, optimized geometry
data_NaBiCSO7
_cell_length_a 5.7774
_cell_length_b 6.7227
_cell_length_c 9.3206
_cell_angle_alpha 90.00
_cell_angle_beta 92.41
_cell_angle_gamma 90.00
_space_group_name_H-M_alt 'P 1'
_space_group_IT_number 1
_space_group_name_Hall 'P 1'
loop_
_atom_site_label
_atom_site_fract_x
_atom_site_fract_y
_atom_site_fract_z
Na1 0.2384 0.0000 0.1956
Na2 0.7616 0.5000 0.8044
Bi1 0.2248 0.7359 0.6250
Bi2 0.7752 0.2359 0.3750
C1 0.2641 0.7347 0.9084
C2 0.7359 0.2347 0.0916
S1 0.2613 0.2640 0.5859
S2 0.7387 0.7640 0.4141
O1 0.0620 0.7476 0.8318
O2 0.0794 0.3983 0.6441
O3 0.1998 0.2275 0.4310
O4 0.2644 0.0762 0.6689
O5 0.2820 0.7533 0.0391
O6 0.4421 0.7016 0.8242
O7 0.4868 0.3682 0.5985
O8 0.5132 0.8682 0.4015
O9 0.5579 0.2016 0.1758
O10 0.7180 0.2533 0.9609
O11 0.7356 0.5762 0.3311
O12 0.8002 0.7275 0.5690
O13 0.9206 0.8983 0.3559
O14 0.9380 0.2476 0.1682
# total magnetization = 0.1 μB per formula unit
# electronic total energy = -145.559 eV for the cell shown
# calculated density = 3.563 Mg/m³
# volume = 16.44 Å³/atom
# formation energy from raw total energies = -1483.7 meV/atom



No. 2
# GGA-PBEsol Na4Bi2C4SO16, optimized geometry
data_Na4Bi2C4SO16
_cell_length_a 10.3336
_cell_length_b 10.2459
_cell_length_c 10.1773
_cell_angle_alpha 60.79
_cell_angle_beta 59.93
_cell_angle_gamma 59.28
_space_group_name_H-M_alt 'P 1'
_space_group_IT_number 1
_space_group_name_Hall 'P 1'
loop_
_atom_site_label
_atom_site_fract_x
_atom_site_fract_y
_atom_site_fract_z
Na1 0.0553 0.4447 0.4447
Na2 0.2043 0.7957 0.2043
Na3 0.2044 0.7956 0.7956
Na4 0.2064 0.2064 0.7936
Na5 0.4447 0.0553 0.0553
Na6 0.7936 0.7936 0.2064
Na7 0.7956 0.2044 0.2044
Na8 0.7957 0.2043 0.7957
Bi1 0.1195 0.6352 0.6271
Bi2 0.6181 0.6271 0.6352
Bi3 0.6271 0.6181 0.1195
Bi4 0.6352 0.1195 0.6181
C1 0.4055 0.4115 0.4065
C2 0.4065 0.7765 0.4055
C3 0.4115 0.4055 0.7765
C4 0.4476 0.8605 0.8590
C5 0.7765 0.4065 0.4115
C6 0.8329 0.8590 0.8605
C7 0.8590 0.8329 0.4476
C8 0.8605 0.4476 0.8329
S1 0.0000 0.0000 0.0000
S2 0.2500 0.2500 0.2500
O1 0.0582 0.0596 0.0603
O2 0.0596 0.0582 0.8219
O3 0.0603 0.8219 0.0582
O4 0.1877 0.4289 0.1942
O5 0.1892 0.1942 0.4289
O6 0.1942 0.1892 0.1877
O7 0.2743 0.4159 0.5297
O8 0.2804 0.7769 0.4075
O9 0.2855 0.5326 0.7707
O10 0.4075 0.5352 0.2804
O11 0.4112 0.7707 0.5326
O12 0.4159 0.2743 0.7800
O13 0.4289 0.1877 0.1892
O14 0.4442 0.7409 0.8504
O15 0.4459 0.8518 0.9923
O16 0.4507 0.9892 0.7385
O17 0.5297 0.7800 0.2743
O18 0.5326 0.2855 0.4112
O19 0.5352 0.4075 0.7769
O20 0.7099 0.9923 0.8518
O21 0.7385 0.8216 0.4507
O22 0.7409 0.4442 0.9645
O23 0.7707 0.4112 0.2855
O24 0.7769 0.2804 0.5352
O25 0.7800 0.5297 0.4159
O26 0.8219 0.0603 0.0596
O27 0.8216 0.7385 0.9892
O28 0.8504 0.9645 0.4442
O29 0.8518 0.4459 0.7099
O30 0.9645 0.8504 0.7409
O31 0.9892 0.4507 0.8216
O32 0.9923 0.7099 0.4459
# offset from the most stable computed form = 38 kJ/mol of formula units
# total magnetization = 0.1 μB per formula unit
# electronic total energy = -363.938 eV for the cell shown
# calculated density = 3.689 Mg/m³
# volume = 14.10 Å³/atom
# formation energy from raw total energies = -1513.0 meV/atom



No. 3
# GGA-PBEsol Na4Bi2C4SO16, optimized geometry
data_Na4Bi2C4SO16
_cell_length_a 10.5089
_cell_length_b 10.3999
_cell_length_c 10.0158
_cell_angle_alpha 61.93
_cell_angle_beta 60.83
_cell_angle_gamma 57.24
_space_group_name_H-M_alt 'P 1'
_space_group_IT_number 1
_space_group_name_Hall 'P 1'
loop_
_atom_site_label
_atom_site_fract_x
_atom_site_fract_y
_atom_site_fract_z
Na1 0.0756 0.6744 0.0756
Na2 0.0773 0.6727 0.6727
Na3 0.3256 0.9244 0.3256
Na4 0.3273 0.9227 0.9227
Na5 0.6727 0.0773 0.0773
Na6 0.6744 0.0756 0.6744
Na7 0.9227 0.3273 0.3273
Na8 0.9244 0.3256 0.9244
Bi1 0.0000 0.5000 0.5000
Bi2 0.5000 0.0000 0.5000
Bi3 0.5000 0.5000 0.0000
Bi4 0.5000 0.5000 0.5000
C1 0.2613 0.6636 0.2903
C2 0.2848 0.2903 0.6636
C3 0.2903 0.2848 0.2613
C4 0.3364 0.7387 0.7152
C5 0.6636 0.2613 0.2848
C6 0.7097 0.7152 0.7387
C7 0.7152 0.7097 0.3364
C8 0.7387 0.3364 0.7097
S1 0.1250 0.1250 0.1250
S2 0.8750 0.8750 0.8750
O1 0.0566 0.3028 0.0713
O2 0.0693 0.0713 0.3028
O3 0.0713 0.0693 0.0566
O4 0.1398 0.6545 0.4149
O5 0.1548 0.2983 0.6696
O6 0.1553 0.4095 0.2689
O7 0.2689 0.6664 0.1553
O8 0.2908 0.4149 0.6545
O9 0.2983 0.1548 0.3773
O10 0.3028 0.0566 0.0693
O11 0.3304 0.6227 0.8452
O12 0.3336 0.7311 0.5905
O13 0.3455 0.8602 0.7092
O14 0.3773 0.6696 0.2983
O15 0.4095 0.1553 0.6664
O16 0.4149 0.2908 0.1398
O17 0.5851 0.7092 0.8602
O18 0.5905 0.8447 0.3336
O19 0.6227 0.3304 0.7017
O20 0.6545 0.1398 0.2908
O21 0.6664 0.2689 0.4095
O22 0.6696 0.3773 0.1548
O23 0.6972 0.9434 0.9307
O24 0.7017 0.8452 0.6227
O25 0.7092 0.5851 0.3455
O26 0.7311 0.3336 0.8447
O27 0.8447 0.5905 0.7311
O28 0.8452 0.7017 0.3304
O29 0.8602 0.3455 0.5851
O30 0.9287 0.9307 0.9434
O31 0.9307 0.9287 0.6972
O32 0.9434 0.6972 0.9287
# offset from the most stable computed form = 0 kJ/mol of formula units
# total magnetization = 0.2 μB per formula unit
# electronic total energy = -364.718 eV for the cell shown
# calculated density = 3.643 Mg/m³
# volume = 14.28 Å³/atom
# formation energy from raw total energies = -1527.4 meV/atom



No. 4
# GGA-PBEsol Na3SiBiCO7, optimized geometry
data_Na3SiBiCO7
_cell_length_a 5.1348
_cell_length_b 7.1013
_cell_length_c 9.3860
_cell_angle_alpha 90.00
_cell_angle_beta 91.28
_cell_angle_gamma 90.00
_space_group_name_H-M_alt 'P 1'
_space_group_IT_number 1
_space_group_name_Hall 'P 1'
loop_
_atom_site_label
_atom_site_fract_x
_atom_site_fract_y
_atom_site_fract_z
Na1 0.2252 0.2500 0.4134
Na2 0.2455 0.5080 0.7502
Na3 0.2455 0.9920 0.7502
Na4 0.7545 0.0080 0.2498
Na5 0.7545 0.4920 0.2498
Na6 0.7748 0.7500 0.5866
Si1 0.2921 0.2500 0.0986
Si2 0.7079 0.7500 0.9014
Bi1 0.2349 0.7500 0.1313
Bi2 0.7651 0.2500 0.8687
C1 0.2699 0.7500 0.4449
C2 0.7301 0.2500 0.5551
O1 0.0479 0.7500 0.3745
O2 0.1897 0.2500 0.9283
O3 0.1938 0.0663 0.1886
O4 0.1938 0.4337 0.1886
O5 0.2722 0.7500 0.5822
O6 0.3869 0.7500 0.9047
O7 0.4875 0.7500 0.3767
O8 0.5125 0.2500 0.6233
O9 0.6131 0.2500 0.0953
O10 0.7278 0.2500 0.4178
O11 0.8062 0.5663 0.8114
O12 0.8062 0.9337 0.8114
O13 0.8103 0.7500 0.0717
O14 0.9521 0.2500 0.6255
# total magnetization = 0.0 μB per formula unit
# electronic total energy = -171.233 eV for the cell shown
# calculated density = 4.174 Mg/m³
# volume = 13.16 Å³/atom
# formation energy from raw total energies = -1922.8 meV/atom



No. 5
# GGA-PBEsol NbSnBiC2, optimized geometry
data_NbSnBiC2
_cell_length_a 4.1912
_cell_length_b 4.1912
_cell_length_c 5.8854
_cell_angle_alpha 90.00
_cell_angle_beta 90.00
_cell_angle_gamma 90.00
_space_group_name_H-M_alt 'P 1'
_space_group_IT_number 1
_space_group_name_Hall 'P 1'
loop_
_atom_site_label
_atom_site_fract_x
_atom_site_fract_y
_atom_site_fract_z
Nb1 0.0000 0.0000 0.0000
Sn1 0.5000 0.5000 0.5000
Bi1 0.5000 0.5000 0.0000
C1 0.0000 0.5000 0.5000
C2 0.5000 0.0000 0.5000
# energy of formation from the pure elements = 12.5 eV/f.u.
# total magnetization = 0.8 μB per formula unit
# electronic total energy = -26.175 eV for the cell shown
# calculated density = 7.142 Mg/m³
# volume = 20.68 Å³/atom



No. 6
# GGA-PBEsol NiBi2C, optimized geometry
data_NiBi2C
_cell_length_a 6.5864
_cell_length_b 6.5864
_cell_length_c 6.5864
_cell_angle_alpha 128.10
_cell_angle_beta 128.10
_cell_angle_gamma 76.46
_space_group_name_H-M_alt 'P 1'
_space_group_IT_number 1
_space_group_name_Hall 'P 1'
loop_
_atom_site_label
_atom_site_fract_x
_atom_site_fract_y
_atom_site_fract_z
Ni1 0.0000 0.0000 0.0000
Ni2 0.7500 0.2500 0.5000
Bi1 0.1503 0.1250 0.5253
Bi2 0.3750 0.8497 0.9747
Bi3 0.5997 0.6250 0.4747
Bi4 0.8750 0.4003 0.0253
C1 0.2500 0.7500 0.5000
C2 0.5000 0.5000 0.0000
# energy of formation from the pure elements = 3.7 eV/f.u.
# total magnetization = 0.0 μB per formula unit
# electronic total energy = -41.369 eV for the cell shown
# calculated density = 9.441 Mg/m³
# volume = 21.49 Å³/atom